# CaSm12Ho7

A relaxed structure of CaSm12Ho7 (GGA-PBE, the Alexandria database).

Unit cell a=8.811 b=8.811 c=8.811 alpha=86.78 beta=86.78 gamma=86.78
Sites, in units of the cell vectors:
Ca (0.000, 0.000, 0.000)
Sm (0.849, 0.259, 0.722)
Sm (0.741, 0.278, 0.151)
Sm (0.619, 0.134, 0.490)
Sm (0.866, 0.510, 0.381)
Sm (0.278, 0.151, 0.741)
Sm (0.510, 0.381, 0.866)
Sm (0.490, 0.619, 0.134)
Sm (0.722, 0.849, 0.259)
Sm (0.134, 0.490, 0.619)
Sm (0.381, 0.866, 0.510)
Sm (0.259, 0.722, 0.849)
Sm (0.151, 0.741, 0.278)
Ho (0.847, 0.602, 0.927)
Ho (0.398, 0.073, 0.153)
Ho (0.073, 0.153, 0.398)
Ho (0.500, 0.500, 0.500)
Ho (0.927, 0.847, 0.602)
Ho (0.602, 0.927, 0.847)
Ho (0.153, 0.398, 0.073)

Results
The value obtained for the uncorrected energy is -0.1581 hartree per atom. The formation energy is 0.23 eV per atom. The value obtained for the energy above the most stable polymorph in this dataset is 0 meV per atom.